(one)
Here is a relaxed structure of YNpSe2 from the Alexandria database. Energies are from PBE-GGA.

The space group is R3m (No. 160, hexagonal axes) and the conventional cell measures 3.9388, 3.9388 and 21.9710 Å, with angles of 90.00, 90.00 and 120.00 degrees. Symmetry generates all atoms from Y at (0.0000, 0.0000, 0.0000), Np at (0.0000, 0.0000, 0.1734), Se at (0.0000, 0.0000, 0.4167) and Se at (0.0000, 0.0000, 0.5892).

(two)
Here is a relaxed structure of YNpSe2 from the Alexandria database. Energies are from PBE-GGA.

The space group is R-3m (No. 166, hexagonal axes) and the conventional cell measures 4.0929, 4.0929 and 20.0685 Å, with angles of 90.00, 90.00 and 120.00 degrees. Symmetry generates all atoms from Y at (0.0000, 0.0000, 0.0000), Np at (0.0000, 0.0000, 0.5000) and Se at (0.0000, 0.0000, 0.2506).

Computed relative energies in units of meV/atom: (one) 71; (two) 0